[1]
Compound: LaTm2B6
Source: the Alexandria database
Functional: PBE
Structure: relaxed

POSCAR file:
```
LaTm2B6
1.0
3.958 0.000 0.000
0.000 4.938 -2.851
0.000 0.000 5.702
La Tm B
1 2 6
Cartesian
0.000 0.000 0.000 La
0.000 1.646 2.851 Tm
0.000 3.292 0.000 Tm
1.979 1.692 0.977 B
1.979 3.246 1.874 B
1.979 0.000 3.748 B
1.979 3.246 3.828 B
1.979 1.692 -0.977 B
1.979 0.000 1.954 B
```

Calculated values
- DFT formation energy (eV/atom) = -0.448
- volume (Å³/f.u.) = 111.42
- size of the total moment (μB/f.u.) = 0.0

***

[2]
Compound: LaUB12
Source: the Alexandria database
Functional: PBE
Structure: relaxed

POSCAR file:
```
LaUB12
1.0
-3.484 -0.636 2.086
0.882 -4.007 0.251
3.996 1.323 7.077
La U B
1 1 12
Cartesian
1.998 0.661 3.538 La
0.000 0.000 0.000 U
0.738 -1.803 2.289 B
2.758 -1.134 5.866 B
0.295 -1.794 3.995 B
2.304 -1.129 7.552 B
-0.579 -0.786 2.843 B
1.441 -0.117 6.420 B
-0.910 -2.192 1.862 B
1.099 -1.527 5.419 B
-0.047 -3.204 2.994 B
1.973 -2.535 6.571 B
-1.364 -2.187 3.548 B
0.656 -1.518 7.125 B
```

Calculated values
- DFT formation energy (eV/atom) = -0.420
- volume (Å³/f.u.) = 139.13
- size of the total moment (μB/f.u.) = 2.7

***

[3]
Compound: LaVB3
Source: the Alexandria database
Functional: PBE
Structure: relaxed

POSCAR file:
```
LaVB3
1.0
4.518 0.000 0.000
0.000 4.518 0.000
0.000 0.000 4.518
B La V
3 1 1
Cartesian
0.000 2.259 0.000 B
0.000 0.000 2.259 B
2.259 0.000 0.000 B
0.000 0.000 0.000 La
2.259 2.259 2.259 V
```

Calculated values
- energy relative to the lowest polymorph listed for this composition (eV/atom) = 2.342
- DFT formation energy (eV/atom) = 2.481
- volume (Å³/f.u.) = 92.23
- size of the total moment (μB/f.u.) = 3.0